Computed, not measured: a relaxed Nd2Er6Tl crystal at the PBE level of DFT.

Results
DFT total energy (eV for the cell shown): -78.36
Formation energy from the elements (eV/atom): 0.0109
Theoretical density (g/cm3): 8.95

abc: 5.510 9.736 10.346
angles: 90.00 90.12 90.00
Element x y z (fractional)
Er 0.999 0.678 0.575
Er 0.500 0.857 0.399
Er 0.000 0.015 0.176
Er 0.001 0.322 0.425
Er 0.501 0.178 0.925
Er 0.000 0.643 0.899
Er 0.499 0.822 0.075
Er 0.500 0.485 0.676
Er 0.500 0.515 0.324
Er 0.500 0.143 0.601
Er 0.000 0.985 0.824
Er 0.000 0.357 0.101
Nd 0.000 0.313 0.752
Nd 0.000 0.687 0.248
Nd 0.500 0.813 0.748
Nd 0.500 0.187 0.252
Tl 0.000 0.000 0.500
Tl 0.500 0.500 0.000

***

Computed, not measured: a relaxed CsThTlI6 crystal at the PBE level of DFT.

Results
E_form (uncorrected) (eV/atom): -1.2041
DFT total energy (eV for the cell shown): -61.55
Theoretical density (g/cm3): 4.17

abc: 8.690 8.690 16.203
angles: 90.00 90.00 120.00
Element x y z (fractional)
I 0.351 0.387 0.861
I 0.964 0.613 0.361
I 0.649 0.613 0.139
I 0.036 0.649 0.861
I 0.351 0.964 0.639
I 0.649 0.036 0.361
I 0.387 0.036 0.139
I 0.613 0.649 0.639
I 0.964 0.351 0.139
I 0.613 0.964 0.861
I 0.387 0.351 0.361
I 0.036 0.387 0.639
Tl 0.333 0.667 0.250
Tl 0.667 0.333 0.750
Th 0.333 0.667 0.750
Th 0.667 0.333 0.250
Cs 0.000 0.000 0.000
Cs 0.000 0.000 0.500

***

Computed, not measured: a relaxed NaNd3Sn12 crystal at the PBE level of DFT.

Results
DFT total energy (eV for the cell shown): -70.13
Formation energy from the elements (eV/atom): -0.4048
Theoretical density (g/cm3): 7.22

abc: 4.725 4.725 19.380
angles: 90.00 90.00 90.00
Element x y z (fractional)
Sn 0.500 0.000 0.375
Sn 0.500 0.000 0.625
Sn 0.500 0.000 0.878
Sn 0.500 0.000 0.122
Sn 0.500 0.500 0.000
Sn 0.000 0.500 0.122
Sn 0.000 0.500 0.375
Sn 0.500 0.500 0.500
Sn 0.500 0.500 0.754
Sn 0.000 0.500 0.878
Sn 0.500 0.500 0.246
Sn 0.000 0.500 0.625
Na 0.000 0.000 0.000
Nd 0.000 0.000 0.253
Nd 0.000 0.000 0.747
Nd 0.000 0.000 0.500

***

Computed, not measured: a relaxed LiHg2Se crystal at the PBE level of DFT.

Results
E_form (uncorrected) (eV/atom): -0.4032
DFT total energy (eV for the cell shown): -7.61
Theoretical density (g/cm3): 7.64

abc: 4.484 4.484 6.640
angles: 99.12 99.12 53.67
Element x y z (fractional)
Li 0.525 0.525 0.627
Hg 0.242 0.242 0.258
Hg 0.902 0.902 0.017
Se 0.831 0.831 0.598

***

Computed, not measured: a relaxed PrErAlSn crystal at the PBE level of DFT.

Results
DFT total energy (eV for the cell shown): -18.77
Formation energy from the elements (eV/atom): -0.4209
Theoretical density (g/cm3): 7.08

abc: 5.320 5.320 5.320
angles: 60.00 60.00 60.00
Element x y z (fractional)
Er 0.000 0.000 0.000
Pr 0.500 0.500 0.500
Sn 0.250 0.250 0.250
Al 0.750 0.750 0.750

***

Computed, not measured: a relaxed Rb2SmCdF6 crystal at the PBE level of DFT.

Results
E_form (uncorrected) (eV/atom): -2.9107
DFT total energy (eV for the cell shown): -47.90
Theoretical density (g/cm3): 4.22

abc: 6.730 6.730 6.731
angles: 60.00 60.00 90.00
Last column: magnetic moment on the atom in μB.
Element x y z (fractional)
Sm 0.000 0.000 0.000  0.02
Rb 0.750 0.250 0.500  0.01
Rb 0.250 0.750 0.500  0.01
F 0.764 0.236 0.000  0.02
F 0.236 0.236 0.000  0.02
F 0.764 0.764 0.472  0.02
F 0.236 0.236 0.528  0.02
F 0.236 0.764 0.000  0.02
F 0.764 0.764 0.000  0.02
Cd 0.500 0.500 0.000  0.26

***

Computed, not measured: a relaxed BeMoBr2 crystal at the PBE level of DFT.

Results
E_form (uncorrected) (eV/atom): 0.9175
DFT total energy (eV for the cell shown): -14.23
Theoretical density (g/cm3): 6.52

abc: 4.568 4.568 4.568
angles: 60.00 60.00 60.00
Element x y z (fractional)
Br 0.750 0.750 0.750
Br 0.250 0.250 0.250
Be 0.000 0.000 0.000
Mo 0.500 0.500 0.500

***

Computed, not measured: a relaxed Sr6Ag2Au crystal at the PBE level of DFT.

Results
DFT total energy (eV for the cell shown): -43.92
Formation energy from the elements (eV/atom): -0.3211
Theoretical density (g/cm3): 4.33

abc: 7.555 8.536 11.173
angles: 90.00 90.69 90.00
Element x y z (fractional)
Au 0.000 0.000 0.500
Au 0.500 0.500 0.000
Ag 0.054 0.619 0.747
Ag 0.446 0.119 0.753
Ag 0.554 0.881 0.247
Ag 0.946 0.381 0.253
Sr 0.165 0.322 0.566
Sr 0.841 0.677 0.067
Sr 0.335 0.822 0.934
Sr 0.159 0.323 0.933
Sr 0.659 0.177 0.433
Sr 0.653 0.458 0.747
Sr 0.665 0.178 0.066
Sr 0.347 0.542 0.253
Sr 0.341 0.823 0.567
Sr 0.847 0.958 0.753
Sr 0.835 0.678 0.434
Sr 0.153 0.042 0.247

***

Computed, not measured: a relaxed LaTc2Pt crystal at the PBE level of DFT.

Results
DFT total energy (eV for the cell shown): -31.36
Formation energy from the elements (eV/atom): 0.0852
Theoretical density (g/cm3): 10.27

abc: 4.820 4.460 4.049
angles: 79.99 90.00 90.00
Element x y z (fractional)
La 0.500 0.250 0.250
Tc 0.000 0.898 0.987
Tc 0.000 0.602 0.513
Pt 0.500 0.750 0.750

***

Computed, not measured: a relaxed Ta6Cd4O19 crystal at the PBE level of DFT.

Results
E_form (uncorrected) (eV/atom): -2.3000
DFT total energy (eV for the cell shown): -235.68
Theoretical density (g/cm3): 7.70

abc: 8.016 8.016 8.016
angles: 109.47 109.47 109.47
Element x y z (fractional)
O 0.963 0.649 0.254
O 0.366 0.000 0.366
O 0.351 0.314 0.605
O 0.000 0.634 0.634
O 0.366 0.366 0.000
O 0.634 0.000 0.634
O 0.314 0.605 0.351
O 0.000 0.366 0.366
O 0.709 0.746 0.395
O 0.254 0.963 0.649
O 0.605 0.351 0.314
O 0.037 0.291 0.686
O 0.395 0.709 0.746
O 0.000 0.000 0.000
O 0.649 0.254 0.963
O 0.746 0.395 0.709
O 0.634 0.634 0.000
O 0.291 0.686 0.037
O 0.686 0.037 0.291
Cd 0.000 0.720 0.000
Cd 0.720 0.000 0.000
Cd 0.000 0.000 0.720
Cd 0.280 0.280 0.280
Ta 0.329 0.500 0.829
Ta 0.500 0.171 0.671
Ta 0.829 0.329 0.500
Ta 0.671 0.500 0.171
Ta 0.171 0.671 0.500
Ta 0.500 0.829 0.329

***

Computed, not measured: a relaxed GdErFe4 crystal at the PBE level of DFT.

Results
DFT total energy (eV for the cell shown): -53.09
Formation energy from the elements (eV/atom): -0.0987
Theoretical density (g/cm3): 9.51

abc: 5.133 5.133 5.133
angles: 60.00 60.00 60.00
Last column: magnetic moment on the atom in μB.
Element x y z (fractional)
Fe 0.625 0.625 0.625  -2.04
Fe 0.625 0.625 0.126  -2.04
Fe 0.126 0.625 0.625  -2.04
Fe 0.625 0.126 0.625  -2.04
Er 0.250 0.250 0.250  0.62
Gd 0.000 0.000 0.000  7.39

***

Computed, not measured: a relaxed InHg2BP crystal at the PBE level of DFT.

Results
DFT total energy (eV for the cell shown): -12.65
Formation energy from the elements (eV/atom): 0.5557
Theoretical density (g/cm3): 7.21

abc: 6.135 3.413 6.135
angles: 90.00 90.00 90.00
Element x y z (fractional)
Hg 0.000 0.000 0.500
Hg 0.500 0.000 0.000
B 0.000 0.500 0.000
In 0.500 0.500 0.500
P 0.000 0.000 0.000

***

- What is the formula in the twelfth record?
  InHg2BP

***

- Among the records above, which one has the highest theoretical density?
  LaTc2Pt

***

- Look up the theoretical density of the second one.
  4.17 g/cm3